1.
First-principles (PBE) data for crystalline Ac2CrCu2S6 at its relaxed geometry, as listed in Alexandria.

a = 6.8353 Å, b = 6.8353 Å, c = 17.7687 Å
α = 90.00°, β = 90.00°, γ = 120.00°
Space group R-3m (No. 166, hexagonal axes)
Symmetry-distinct sites (fractional):
Ac (0.0000, 0.0000, 0.2245) (multiplicity 6)
Cr (0.0000, 0.0000, 0.0000) (multiplicity 3)
Cu (0.0000, 0.0000, 0.4146) (multiplicity 6)
S (0.0318, 0.5159, 0.7538) (multiplicity 18)

The calculation puts the total energy at -5.657 eV per atom. For the formation energy from raw total energies, the calculation gives -100.2 kJ/mol of atoms. As for the volume: 21.79 Å³ per atom.

***

2.
First-principles (PBE) data for crystalline Ac2CrCuSe5 at its relaxed geometry, as listed in Alexandria.

a = 4.160 Å, b = 18.386 Å, c = 11.831 Å
α = 90.00°, β = 90.00°, γ = 90.00°
Space group Cmc2_1 (No. 36)
Symmetry-distinct sites (fractional):
Ac (0.000, 0.118, 0.000) (multiplicity 4)
Ac (0.000, 0.125, 0.597) (multiplicity 4)
Cr (0.000, 0.205, 0.308) (multiplicity 4)
Cu (0.000, 0.429, 0.736) (multiplicity 4)
Se (0.000, 0.069, 0.337) (multiplicity 4)
Se (0.000, 0.285, 0.948) (multiplicity 4)
Se (0.000, 0.296, 0.663) (multiplicity 4)
Se (0.000, 0.351, 0.300) (multiplicity 4)
Se (0.000, 0.499, 0.564) (multiplicity 4)

The calculation puts the total energy at -5.636 eV per atom. For the formation energy from raw total energies, the calculation gives -121.9 kJ/mol of atoms. As for the volume: 25.14 Å³ per atom.

***

3.
First-principles (PBE) data for crystalline Ac3DyCr2N6 at its relaxed geometry, as listed in Alexandria.

a = 5.9573 Å, b = 5.9573 Å, c = 6.9770 Å
α = 90.00°, β = 90.00°, γ = 120.00°
Space group P-3m1 (No. 164)
Symmetry-distinct sites (fractional):
Ac (0.0000, 0.0000, 0.0000) (multiplicity 1)
Ac (0.3333, 0.6667, 0.6845) (multiplicity 2)
Dy (0.0000, 0.0000, 0.5000) (multiplicity 1)
Cr (0.3333, 0.6667, 0.2127) (multiplicity 2)
N (0.1733, 0.3465, 0.2901) (multiplicity 6)

The calculation puts the total energy at -8.156 eV per atom. For the formation energy from raw total energies, the calculation gives -94.5 kJ/mol of atoms. As for the volume: 17.87 Å³ per atom.

***

4.
First-principles (PBE) data for crystalline AcDy2CrN4 at its relaxed geometry, as listed in Alexandria.

a = 3.478 Å, b = 11.894 Å, c = 11.691 Å
α = 90.00°, β = 90.00°, γ = 90.00°
Space group Cmcm (No. 63)
Symmetry-distinct sites (fractional):
Ac (0.000, 0.091, 0.250) (multiplicity 4)
Dy (0.000, 0.369, 0.044) (multiplicity 8)
Cr (0.000, 0.172, 0.750) (multiplicity 4)
N (0.000, 0.000, 0.000) (multiplicity 4)
N (0.000, 0.262, 0.624) (multiplicity 8)
N (0.000, 0.410, 0.250) (multiplicity 4)

The calculation puts the total energy at -8.265 eV per atom. For the formation energy from raw total energies, the calculation gives -119.2 kJ/mol of atoms. As for the volume: 15.11 Å³ per atom.

***

5.
First-principles (PBE) data for crystalline Ac2DyCrS6 at its relaxed geometry, as listed in Alexandria.

a = 7.122 Å, b = 10.006 Å, c = 6.837 Å
α = 90.00°, β = 90.00°, γ = 90.00°
Space group Pmmn (No. 59, origin choice 2)
Symmetry-distinct sites (fractional):
Ac (0.250, 0.043, 0.221) (multiplicity 4)
Dy (0.250, 0.750, 0.751) (multiplicity 2)
Cr (0.250, 0.250, 0.741) (multiplicity 2)
S (0.015, 0.250, 0.982) (multiplicity 4)
S (0.032, 0.250, 0.486) (multiplicity 4)
S (0.250, 0.013, 0.765) (multiplicity 4)

The calculation puts the total energy at -6.336 eV per atom. For the formation energy from raw total energies, the calculation gives -155.9 kJ/mol of atoms. As for the volume: 24.36 Å³ per atom.

***

6.
First-principles (PBE) data for crystalline Ac3ErCr2N6 at its relaxed geometry, as listed in Alexandria.

a = 5.9405 Å, b = 5.9405 Å, c = 6.9504 Å
α = 90.00°, β = 90.00°, γ = 120.00°
Space group P-3m1 (No. 164)
Symmetry-distinct sites (fractional):
Ac (0.0000, 0.0000, 0.0000) (multiplicity 1)
Ac (0.3333, 0.6667, 0.6822) (multiplicity 2)
Er (0.0000, 0.0000, 0.5000) (multiplicity 1)
Cr (0.3333, 0.6667, 0.2142) (multiplicity 2)
N (0.1729, 0.3457, 0.2926) (multiplicity 6)

The calculation puts the total energy at -8.174 eV per atom. For the formation energy from raw total energies, the calculation gives -96.5 kJ/mol of atoms. As for the volume: 17.70 Å³ per atom.